[1]
VASP calculation (GGA-PBE) on an optimized crystal structure of AcThSn.

Cell lengths 11.9874, 4.2088, 8.5454 Å; angles 90.00, 110.53, 90.00 degrees
Space group C2/m (No. 12)
Asymmetric unit:
Ac (0.1563, 0.0000, 0.0942)
Th (0.1388, 0.0000, 0.5492)
Sn (0.0199, 0.5000, 0.7516)

* E: -5.54 eV per atom
* calculated formation energy: -360.0 meV per atom
* energy above the lowest structure with this stoichiometry: 130 meV/atom
* size of the total moment: 0.0000 μB per atom


[2]
VASP calculation (GGA-PBE) on an optimized crystal structure of Ac5ThSn4.

Cell lengths 17.5269, 5.6496, 7.7013 Å; angles 90.00, 91.84, 90.00 degrees
Space group C2/m (No. 12)
Asymmetric unit:
Ac (0.0000, 0.0000, 0.0000)
Ac (0.1638, 0.5000, 0.9988)
Ac (0.1671, 0.5000, 0.5053)
Th (0.0000, 0.0000, 0.5000)
Sn (0.0069, 0.5000, 0.2628)
Sn (0.1721, 0.0000, 0.7480)

* E: -4.85 eV per atom
* calculated formation energy: -448.9 meV per atom
* size of the total moment: 0.0000 μB per atom


[3]
VASP calculation (GGA-PBE) on an optimized crystal structure of AcThSn.

Cell lengths 11.8117, 11.8117, 6.3488 Å; angles 90.00, 90.00, 90.00 degrees
Space group I4/mmm (No. 139)
Asymmetric unit:
Ac (0.0000, 0.2392, 0.0000)
Th (0.1792, 0.1792, 0.5000)
Sn (0.0000, 0.3777, 0.5000)

* E: -5.20 eV per atom
* calculated formation energy: -25.8 meV per atom
* energy above the lowest structure with this stoichiometry: 465 meV/atom
* size of the total moment: 0.0000 μB per atom


[4]
VASP calculation (GGA-PBE) on an optimized crystal structure of AcThSn2.

Cell lengths 3.6726, 3.6726, 32.7591 Å; angles 90.00, 90.00, 120.00 degrees
Space group R-3m (No. 166, hexagonal axes)
Asymmetric unit:
Ac (0.0000, 0.0000, 0.0000)
Th (0.0000, 0.0000, 0.5000)
Sn (0.0000, 0.0000, 0.2472)

* E: -5.20 eV per atom
* calculated formation energy: -318.5 meV per atom
* size of the total moment: 0.0000 μB per atom